--- P ---
Below is RbMgCu3 after structural relaxation, with properties calculated at the GGA-PBE level.

a b c (Å): 5.270 5.270 5.270
angles (deg): 90.00 90.00 90.00
Sites, in units of the cell vectors:
Mg 0.500 0.500 0.500
Cu 0.000 0.500 0.000
Cu 0.000 0.000 0.500
Cu 0.500 0.000 0.000
Rb 0.000 0.000 0.000

Summary:
N(E_F): 0.64 states/eV/atom

=====

--- Q ---
Below is RbMgCu3 after structural relaxation, with properties calculated at the GGA-PBE level.

a b c (Å): 5.030 5.030 5.030
angles (deg): 90.00 90.00 90.00
Sites, in units of the cell vectors:
Mg 0.000 0.000 0.000
Cu 0.000 0.500 0.000
Cu 0.000 0.000 0.500
Cu 0.500 0.000 0.000
Rb 0.500 0.500 0.500

Summary:
N(E_F): 0.29 states/eV/atom

=====

Relative to the most stable structure, the computed energies are P 0.966; Q 0.000, all in eV/atom.

=====

--- P ---
Below is RbMg2Cu after structural relaxation, with properties calculated at the GGA-PBE level.

a b c (Å): 6.454 6.454 8.916
angles (deg): 68.78 68.78 90.00
Sites, in units of the cell vectors:
Mg 0.375 0.125 0.250
Mg 0.375 0.625 0.250
Mg 0.375 0.625 0.750
Mg 0.875 0.625 0.750
Cu 0.500 0.500 0.000
Cu 0.250 0.750 0.500
Rb 0.000 0.000 0.000
Rb 0.750 0.250 0.500

Summary:
N(E_F): 0.03 states/eV/atom

=====

--- Q ---
Below is RbMg2Cu after structural relaxation, with properties calculated at the GGA-PBE level.

a b c (Å): 5.356 5.356 5.356
angles (deg): 60.00 60.00 60.00
Sites, in units of the cell vectors:
Mg 0.250 0.250 0.250
Mg 0.750 0.750 0.750
Cu 0.000 0.000 0.000
Rb 0.500 0.500 0.500

Summary:
N(E_F): 0.48 states/eV/atom

=====

Relative to the most stable structure, the computed energies are P 0.000; Q 0.162, all in eV/atom.